Record 1
{"formula": "CoSnOsW", "functional": "PBE", "state": "relaxed", "lattice_angstrom": [[0.0000, 3.1373, 3.1373], [3.1373, 0.0000, 3.1373], [3.1373, 3.1373, 0.0000]], "species": ["Co", "Sn", "Os", "W"], "frac_coords": [[0.0000, 0.0000, 0.0000], [0.7500, 0.7500, 0.7500], [0.5000, 0.5000, 0.5000], [0.2500, 0.2500, 0.2500]], "energy_ev_per_atom": -8.492, "magmom_total_mub_per_fu": 2.0, "relative_energy_mev_per_atom": 0, "spacegroup": "F-43m, No. 216", "crystal_system": "cubic"}

***

Record 2
{"formula": "DyLu6Te2Pt2", "functional": "PBE", "state": "relaxed", "lattice_angstrom": [[-1.9581, 7.6859, 4.7186], [1.9581, -7.6859, 4.7186], [1.9581, 7.6859, -4.7186]], "species": ["Dy", "Lu", "Lu", "Lu", "Lu", "Lu", "Lu", "Te", "Te", "Pt", "Pt"], "frac_coords": [[0.0000, 0.0000, 0.0000], [0.0565, 0.3725, 0.6841], [0.0868, 0.7320, 0.3548], [0.3772, 0.7320, 0.6452], [0.4506, 0.5827, 0.8678], [0.6884, 0.3725, 0.3159], [0.7149, 0.5827, 0.1322], [0.3392, 0.3392, 0.0000], [0.7338, 0.2338, 0.5000], [0.3083, 0.0710, 0.2373], [0.8336, 0.0710, 0.7627]], "energy_ev_per_atom": -5.594, "magmom_total_mub_per_fu": 0.0, "spacegroup": "Imm2, No. 44", "crystal_system": "orthorhombic"}

***

Record 3
{"formula": "YPaHg", "functional": "PBE", "state": "relaxed", "lattice_angstrom": [[0.0000, 3.5913, 3.5913], [3.5913, 0.0000, 3.5913], [3.5913, 3.5913, 0.0000]], "species": ["Y", "Pa", "Hg"], "frac_coords": [[0.0000, 0.0000, 0.0000], [0.5000, 0.5000, 0.5000], [0.7500, 0.7500, 0.7500]], "energy_ev_per_atom": -4.979, "magmom_total_mub_per_fu": 2.1, "formation_enthalpy_0k_ev_per_atom": 0.441, "spacegroup": "F-43m, No. 216", "crystal_system": "cubic"}

***

Record 4
{"formula": "ZrSi", "functional": "PBE", "state": "relaxed", "lattice_angstrom": [[2.3147, -8.4114, 0.0000], [2.3147, 8.4114, 0.0000], [0.0000, 0.0000, 4.5955]], "species": ["Zr", "Zr", "Zr", "Zr", "Zr", "Si", "Si", "Si", "Si", "Si"], "frac_coords": [[0.0000, 0.0000, 0.0000], [0.1153, 0.8847, 0.5000], [0.3846, 0.6154, 0.0000], [0.6154, 0.3846, 0.0000], [0.8847, 0.1153, 0.5000], [0.2124, 0.7876, 0.0000], [0.2794, 0.7206, 0.5000], [0.5000, 0.5000, 0.5000], [0.7206, 0.2794, 0.5000], [0.7876, 0.2124, 0.0000]], "energy_ev_per_atom": -7.341, "magmom_total_mub_per_fu": 0.0, "spacegroup": "Cmmm, No. 65", "crystal_system": "orthorhombic"}

***

Record 5
{"formula": "PmPaMo", "functional": "PBE", "state": "relaxed", "lattice_angstrom": [[0.0000, 3.4343, 3.4343], [3.4343, 0.0000, 3.4343], [3.4343, 3.4343, 0.0000]], "species": ["Pm", "Pa", "Mo"], "frac_coords": [[0.0000, 0.0000, 0.0000], [0.5000, 0.5000, 0.5000], [0.7500, 0.7500, 0.7500]], "energy_ev_per_atom": -7.800, "magmom_total_mub_per_fu": 0.0, "formation_enthalpy_0k_ev_per_atom": 0.563, "spacegroup": "F-43m, No. 216", "crystal_system": "cubic"}

***

Record 6
{"formula": "LuNb2Si2Sb", "functional": "PBE", "state": "relaxed", "lattice_angstrom": [[4.0077, 0.0000, 0.0000], [0.0000, 4.0077, 0.0000], [0.0000, 0.0000, 7.6498]], "species": ["Lu", "Nb", "Nb", "Si", "Si", "Sb"], "frac_coords": [[0.0000, 0.0000, 0.0000], [0.0000, 0.5000, 0.3527], [0.5000, 0.0000, 0.3527], [0.0000, 0.0000, 0.6081], [0.5000, 0.5000, 0.1136], [0.5000, 0.5000, 0.6626]], "energy_ev_per_atom": -6.884, "magmom_total_mub_per_fu": 0.0, "spacegroup": "P4mm, No. 99", "crystal_system": "tetragonal"}

***

Record 7
{"formula": "LuCoBiOs", "functional": "PBE", "state": "relaxed", "lattice_angstrom": [[0.0000, 3.3074, 3.3074], [3.3074, 0.0000, 3.3074], [3.3074, 3.3074, 0.0000]], "species": ["Lu", "Co", "Bi", "Os"], "frac_coords": [[0.0000, 0.0000, 0.0000], [0.7500, 0.7500, 0.7500], [0.5000, 0.5000, 0.5000], [0.2500, 0.2500, 0.2500]], "energy_ev_per_atom": -6.588, "magmom_total_mub_per_fu": 1.0, "relative_energy_mev_per_atom": 0, "spacegroup": "F-43m, No. 216", "crystal_system": "cubic"}

***

Record 8
{"formula": "Er2Tm3Mg3", "functional": "PBE", "state": "relaxed", "lattice_angstrom": [[6.8387, 0.0000, 0.0000], [-3.4193, 5.9224, 0.0000], [0.0000, 0.0000, 5.5265]], "species": ["Er", "Er", "Tm", "Tm", "Tm", "Mg", "Mg", "Mg"], "frac_coords": [[0.0000, 0.0000, 0.0000], [0.3333, 0.6667, 0.5000], [0.0029, 0.5014, 0.0000], [0.4986, 0.5014, 0.0000], [0.4986, 0.9971, 0.0000], [0.3416, 0.1708, 0.5000], [0.8292, 0.1708, 0.5000], [0.8292, 0.6584, 0.5000]], "energy_ev_per_atom": -3.339, "magmom_total_mub_per_fu": 0.1, "relative_energy_mev_per_atom": 52, "spacegroup": "P-6m2, No. 187", "crystal_system": "hexagonal"}